Here is a relaxed structure of Mn2TeSe2 from Alexandria via LeMat-Bulk. Energies are from PBE. Values from VASP.

Geometry as Quantum ESPRESSO input:
```
&SYSTEM
  ibrav = 0, nat = 5, ntyp = 3
/
ATOMIC_SPECIES
Mn 54.94 Mn.upf
Te 127.60 Te.upf
Se 78.96 Se.upf
CELL_PARAMETERS angstrom
-2.121 2.121 5.870
2.121 -2.121 5.870
2.121 2.121 -5.870
ATOMIC_POSITIONS crystal
Mn 0.126 0.126 0.000
Mn 0.874 0.874 0.000
Te 0.500 0.500 0.000
Se 0.250 0.750 0.500
Se 0.750 0.250 0.500
```

Values from the calculation:
SG: I4/mmm, No. 139
Raw formation energy (eV per atom): 0.063
ΔE to the lowest computed polymorph (meV/atom): 366.4